The following is a DFT calculation (PBE) of a relaxed structure of NaLa5Se8.

abc: 7.8795 7.8795 7.8795
angles: 109.53 109.53 109.36
Last column: nearest neighbours and their distance in Å.
Atoms (fractional coordinates):
Na (0.0000, 0.0000, 0.0000)  8 Se 3.07-3.33
La (0.1186, 0.5005, 0.8771)  8 Se 3.02-3.28
La (0.2500, 0.7500, 0.5000)  8 Se 3.04-3.21
La (0.4995, 0.3766, 0.6181)  8 Se 3.02-3.28
La (0.6234, 0.2415, 0.1229)  8 Se 3.02-3.28
La (0.7585, 0.8814, 0.3819)  8 Se 3.02-3.28
Se (0.0264, 0.2782, 0.4006)  5 La 3.05-3.26, 1 Na 3.07
Se (0.2340, 0.1304, 0.7449)  5 La 3.02-3.28, 1 Na 3.33
Se (0.3743, 0.9736, 0.2518)  5 La 3.05-3.26, 1 Na 3.07
Se (0.3854, 0.4890, 0.2551)  5 La 3.02-3.28, 1 Na 3.33
Se (0.5110, 0.7660, 0.8964)  5 La 3.02-3.28, 1 Na 3.33
Se (0.7218, 0.1225, 0.7482)  5 La 3.05-3.26, 1 Na 3.07
Se (0.8696, 0.6146, 0.1036)  5 La 3.02-3.28, 1 Na 3.33
Se (0.8775, 0.6257, 0.5994)  5 La 3.05-3.26, 1 Na 3.07

Total magnetic moment (μB per atom): 0.00
Formation energy without anion corrections (meV per atom): -1972.9
Space-group type: I-4 (82)